FeSiF3: relaxed, PBE with a Hubbard U.

Calculated values
DFT total energy in eV per cell: -22.4
Magnetization in μB/f.u.: 4.31
ρ in g/cm3: 3.368
DOS at the Fermi energy in states/eV/atom: 1.001

The structure in extended XYZ format:
```
5
Lattice="-0.995 3.965 -0.434 -3.979 -1.018 -0.183 -0.284 0.375 4.084" Properties=species:S:1:pos:R:3 pbc="T T T"
F -0.142 0.188 2.042
F -0.497 1.983 -0.217
F -1.989 -0.509 -0.091
Fe 0.000 0.000 0.000
Si -2.629 1.661 1.734
```